Version one
# Mg14TiSi

A relaxed Mg14TiSi crystal (PBE-GGA, Alexandria via LeMat-Bulk).

Lattice parameters (Å, degrees): 6.3191 6.3191 9.9594 90.00 90.00 120.00
Last column: nearest neighbours and their distance in Å.
Element x y z (fractional)
Mg 0.0000 0.0000 0.2451  12 Mg 3.07-3.16
Mg 0.0000 0.0000 0.7549  12 Mg 3.07-3.16
Mg 0.0138 0.5069 0.2539  1 Si 3.01, 10 Mg 3.03-3.29, 1 Ti 3.07
Mg 0.0138 0.5069 0.7461  1 Si 3.01, 10 Mg 3.03-3.29, 1 Ti 3.07
Mg 0.3297 0.1648 0.5000  10 Mg 3.08-3.19, 2 Si 3.16
Mg 0.3402 0.1701 0.0000  10 Mg 3.07-3.22, 2 Ti 3.16
Mg 0.4931 0.5069 0.2539  1 Si 3.01, 10 Mg 3.03-3.29, 1 Ti 3.07
Mg 0.4931 0.5069 0.7461  1 Si 3.01, 10 Mg 3.03-3.29, 1 Ti 3.07
Mg 0.4931 0.9862 0.2539  1 Si 3.01, 10 Mg 3.03-3.29, 1 Ti 3.07
Mg 0.4931 0.9862 0.7461  1 Si 3.01, 10 Mg 3.03-3.29, 1 Ti 3.07
Mg 0.8299 0.1701 0.0000  10 Mg 3.07-3.22, 2 Ti 3.16
Mg 0.8299 0.6598 0.0000  10 Mg 3.07-3.22, 2 Ti 3.16
Mg 0.8352 0.1648 0.5000  10 Mg 3.08-3.19, 2 Si 3.16
Mg 0.8352 0.6703 0.5000  10 Mg 3.08-3.19, 2 Si 3.16
Ti 0.3333 0.6667 0.0000  12 Mg 3.07-3.16
Si 0.3333 0.6667 0.5000  12 Mg 3.01-3.16

## Properties
The space-group type is P-6m2 (187). Its crystal system is hexagonal.


Version two
# Mg14TiSi

A relaxed Mg14TiSi crystal (PBE-GGA, Alexandria via LeMat-Bulk).

Lattice parameters (Å, degrees): 10.1924 6.2851 6.2851 58.35 90.00 90.00
Last column: nearest neighbours and their distance in Å.
Element x y z (fractional)
Mg 0.0000 0.0000 0.0000  12 Mg 3.06-3.21
Mg 0.0000 0.0014 0.4999  12 Mg 3.05-3.22
Mg 0.0000 0.4990 0.4990  12 Mg 3.06-3.19
Mg 0.0000 0.4999 0.0014  12 Mg 3.05-3.22
Mg 0.2523 0.6610 0.6610  1 Ti 3.06, 11 Mg 3.06-3.20
Mg 0.2576 0.1618 0.1618  1 Si 3.04, 11 Mg 3.06-3.19
Mg 0.2606 0.1680 0.6644  1 Ti 3.03, 1 Si 3.03, 10 Mg 3.04-3.22
Mg 0.2606 0.6644 0.1680  1 Ti 3.03, 1 Si 3.03, 10 Mg 3.04-3.22
Mg 0.5000 0.5017 0.9974  8 Mg 3.04-3.10, 2 Ti 3.10-3.18, 2 Si 3.13-3.15
Mg 0.5000 0.9974 0.5017  8 Mg 3.04-3.10, 2 Ti 3.10-3.18, 2 Si 3.13-3.15
Mg 0.7394 0.1680 0.6644  1 Ti 3.03, 1 Si 3.03, 10 Mg 3.04-3.22
Mg 0.7394 0.6644 0.1680  1 Ti 3.03, 1 Si 3.03, 10 Mg 3.04-3.22
Mg 0.7424 0.1618 0.1618  1 Si 3.04, 11 Mg 3.06-3.19
Mg 0.7477 0.6610 0.6610  1 Ti 3.06, 11 Mg 3.06-3.20
Ti 0.5000 0.5029 0.5029  10 Mg 3.03-3.18, 2 Si 3.06
Si 0.5000 0.0011 0.0011  10 Mg 3.03-3.15, 2 Ti 3.06

## Properties
The space-group type is Amm2 (38). Its crystal system is orthorhombic.


The most stable of them is version two.


Version one
# Mg6TiSi

A relaxed Mg6TiSi crystal (PBE-GGA, Alexandria via LeMat-Bulk).

Lattice parameters (Å, degrees): 4.9358 5.8933 10.9907 90.00 90.00 90.00
Last column: nearest neighbours and their distance in Å.
Element x y z (fractional)
Mg 0.0000 0.0000 0.0000  10 Mg 2.95-3.15, 2 Ti 2.99
Mg 0.0000 0.0000 0.4942  10 Mg 2.95-3.19, 2 Si 2.99
Mg 0.0000 0.2457 0.7526  8 Mg 2.90-3.19, 2 Ti 3.04, 2 Si 3.04
Mg 0.0000 0.2543 0.2526  8 Mg 2.90-3.19, 2 Ti 3.04, 2 Si 3.04
Mg 0.0000 0.5000 0.5000  10 Mg 2.95-3.15, 2 Ti 2.99
Mg 0.0000 0.5000 0.9942  10 Mg 2.95-3.19, 2 Si 2.99
Mg 0.0000 0.7457 0.2526  8 Mg 2.90-3.19, 2 Ti 3.04, 2 Si 3.04
Mg 0.0000 0.7543 0.7526  8 Mg 2.90-3.19, 2 Ti 3.04, 2 Si 3.04
Mg 0.5000 0.2495 0.0944  8 Mg 2.94-3.08, 2 Si 3.07-3.16, 2 Ti 3.09-3.14
Mg 0.5000 0.2505 0.5944  8 Mg 2.94-3.08, 2 Si 3.07-3.16, 2 Ti 3.09-3.14
Mg 0.5000 0.7495 0.5944  8 Mg 2.94-3.08, 2 Si 3.07-3.16, 2 Ti 3.09-3.14
Mg 0.5000 0.7505 0.0944  8 Mg 2.94-3.08, 2 Si 3.07-3.16, 2 Ti 3.09-3.14
Ti 0.5000 0.0000 0.8467  2 Si 2.95, 10 Mg 2.99-3.14
Ti 0.5000 0.5000 0.3467  2 Si 2.95, 10 Mg 2.99-3.14
Si 0.5000 0.0000 0.3401  2 Ti 2.95, 10 Mg 2.99-3.16
Si 0.5000 0.5000 0.8401  2 Ti 2.95, 10 Mg 2.99-3.16

## Properties
The space-group type is Amm2 (38). Its crystal system is orthorhombic.


Version two
# Mg6TiSi

A relaxed Mg6TiSi crystal (PBE-GGA, Alexandria via LeMat-Bulk).

Lattice parameters (Å, degrees): 4.8243 6.2477 10.7111 90.00 90.00 90.00
Last column: nearest neighbours and their distance in Å.
Element x y z (fractional)
Mg 0.0000 0.0000 0.0000  10 Mg 2.99-3.11, 2 Si 3.13
Mg 0.0000 0.2463 0.2526  1 Si 2.88, 8 Mg 3.00-3.17, 2 Ti 3.03
Mg 0.0000 0.2537 0.7526  1 Si 2.88, 8 Mg 3.00-3.17, 2 Ti 3.03
Mg 0.0000 0.5000 0.5000  10 Mg 2.99-3.11, 2 Si 3.13
Mg 0.0000 0.7463 0.7526  1 Si 2.88, 8 Mg 3.00-3.17, 2 Ti 3.03
Mg 0.0000 0.7537 0.2526  1 Si 2.88, 8 Mg 3.00-3.17, 2 Ti 3.03
Mg 0.5000 0.0000 0.8346  10 Mg 2.99-3.12, 2 Ti 3.13
Mg 0.5000 0.2477 0.5857  2 Ti 2.99-3.21, 8 Mg 3.00-3.15, 2 Si 3.08
Mg 0.5000 0.2523 0.0857  2 Ti 2.99-3.21, 8 Mg 3.00-3.15, 2 Si 3.08
Mg 0.5000 0.5000 0.3346  10 Mg 2.99-3.12, 2 Ti 3.13
Mg 0.5000 0.7477 0.0857  2 Ti 2.99-3.21, 8 Mg 3.00-3.15, 2 Si 3.08
Mg 0.5000 0.7523 0.5857  2 Ti 2.99-3.21, 8 Mg 3.00-3.15, 2 Si 3.08
Ti 0.5000 0.0000 0.3470  2 Si 2.80, 8 Mg 2.99-3.13
Ti 0.5000 0.5000 0.8470  2 Si 2.80, 8 Mg 2.99-3.13
Si 0.0000 0.0000 0.4804  2 Ti 2.80, 8 Mg 2.88-3.13
Si 0.0000 0.5000 0.9804  2 Ti 2.80, 8 Mg 2.88-3.13

## Properties
The space-group type is Amm2 (38). Its crystal system is orthorhombic.


The most stable of them is version two.